{
  "formula": "Dy3Mg4In4",
  "functional": "GGA-PBE",
  "state": "relaxed",
  "e_tot_ev_per_cell": -34.55,
  "delta_e_f_kj_per_mol_atoms": -30.0,
  "cell": [[4.710, 0.000, 0.000], [0.000, 7.566, 0.000], [-2.355, -3.783, 7.759]],
  "species": ["Dy", "Dy", "Dy", "Mg", "Mg", "Mg", "Mg", "In", "In", "In", "In"],
  "frac_coords": [[0.119, 0.119, 0.237], [0.881, 0.881, 0.763], [0.000, 0.500, 0.000], [0.327, 0.131, 0.655], [0.673, 0.476, 0.345], [0.673, 0.869, 0.345], [0.327, 0.524, 0.655], [0.216, 0.716, 0.432], [0.784, 0.284, 0.568], [0.500, 0.805, 0.000], [0.500, 0.195, 0.000]]
}



{
  "formula": "NiTeRh2",
  "functional": "GGA-PBE",
  "state": "relaxed",
  "e_tot_ev_per_cell": -23.36,
  "e_form_raw_mev_per_atom": 66,
  "cell": [[-1.784, 2.620, 0.847], [-1.677, -1.851, 2.195], [3.799, 1.296, 3.995]],
  "species": ["Ni", "Rh", "Rh", "Te"],
  "frac_coords": [[0.500, 0.500, 0.750], [0.000, 0.000, 0.982], [0.000, 0.000, 0.518], [0.500, 0.500, 0.250]]
}



{
  "formula": "CdPt2W",
  "functional": "GGA-PBE",
  "state": "relaxed",
  "e_tot_ev_per_cell": -26.11,
  "delta_e_f_kj_per_mol_atoms": -4.0,
  "cell": [[-6.186, -2.147, 0.359], [-3.093, -4.223, 3.949], [3.463, 5.378, -1.446]],
  "species": ["W", "Pt", "Pt", "Cd"],
  "frac_coords": [[0.530, 0.530, 0.000], [0.959, 0.959, 0.000], [0.712, 0.212, 0.500], [0.299, 0.799, 0.500]]
}



{
  "formula": "NaZrFe2Ni",
  "functional": "GGA-PBE",
  "state": "relaxed",
  "e_tot_ev_per_cell": -23.99,
  "delta_e_f_kj_per_mol_atoms": 165.6,
  "cell": [[-2.193, -3.948, 0.145], [4.547, -2.503, 0.603], [-0.387, 0.379, 4.486]],
  "species": ["Ni", "Fe", "Fe", "Zr", "Na"],
  "frac_coords": [[0.500, 0.500, 0.500], [0.000, 0.000, 0.500], [0.500, 0.000, 0.000], [0.000, 0.000, 0.000], [0.000, 0.500, 0.000]]
}



{
  "formula": "GdAlPb2",
  "functional": "GGA-PBE",
  "state": "relaxed",
  "e_tot_ev_per_cell": -24.51,
  "delta_e_f_kj_per_mol_atoms": 17.6,
  "e_above_lowest_polymorph_mev_per_atom": 438,
  "cell": [[-2.806, 1.413, 1.622], [-3.173, -1.530, -0.302], [0.074, -6.071, 9.270]],
  "species": ["Pb", "Pb", "Gd", "Al"],
  "frac_coords": [[0.097, 0.097, 0.708], [0.903, 0.903, 0.292], [0.000, 0.000, 0.000], [0.500, 0.500, 0.500]]
}



{
  "formula": "KCd2Hg5",
  "functional": "GGA-PBE",
  "state": "relaxed",
  "e_tot_ev_per_cell": -5.14,
  "delta_e_f_kj_per_mol_atoms": -8.4,
  "cell": [[-2.844, -3.564, -0.130], [0.247, -2.850, -7.307], [4.393, -6.378, -1.260]],
  "species": ["K", "Cd", "Cd", "Hg", "Hg", "Hg", "Hg", "Hg"],
  "frac_coords": [[0.000, 0.000, 0.000], [0.760, 0.740, 0.740], [0.240, 0.260, 0.260], [0.000, 0.500, 0.500], [0.628, 0.577, 0.168], [0.372, 0.423, 0.832], [0.372, 0.832, 0.423], [0.628, 0.168, 0.577]]
}